CsAg3SnTe4 | PBE-GGA | relaxed

Values from the calculation:
symmetry: P2_1/m, No. 11
ΔE to the lowest computed polymorph: 0.00 eV/f.u.

Cell: 6.725 8.474 11.345 Å, 90.00 104.95 90.00°
Fractional coordinates of all 18 atoms:
Ag: 0.597 0.250 0.251
Ag: 0.694 0.058 0.475
Ag: 0.694 0.442 0.475
Ag: 0.306 0.558 0.525
Ag: 0.306 0.942 0.525
Ag: 0.403 0.750 0.749
Cs: 0.792 0.750 0.122
Cs: 0.208 0.250 0.878
Sn: 0.125 0.250 0.272
Sn: 0.875 0.750 0.728
Te: 0.801 0.250 0.068
Te: 0.360 0.528 0.277
Te: 0.360 0.972 0.277
Te: 0.953 0.750 0.495
Te: 0.047 0.250 0.505
Te: 0.640 0.028 0.723
Te: 0.640 0.472 0.723
Te: 0.199 0.750 0.932

CsAg3SnTe4 | PBE-GGA | relaxed

Values from the calculation:
symmetry: P-43m, No. 215
ΔE to the lowest computed polymorph: 1.05 eV/f.u.

Cell: 7.141 7.141 7.141 Å, 90.00 90.00 90.00°
Fractional coordinates of all 9 atoms:
Ag: 0.500 0.500 0.000
Ag: 0.500 0.000 0.500
Ag: 0.000 0.500 0.500
Cs: 0.000 0.000 0.000
Sn: 0.500 0.500 0.500
Te: 0.280 0.280 0.280
Te: 0.720 0.720 0.280
Te: 0.720 0.280 0.720
Te: 0.280 0.720 0.720